Material: LiNp2ScSe4
Method: DFT, GGA-PBE
State: relaxed

Cell: 3.994 7.009 6.889 Å, 109.66 90.00 90.00°
Each line ends with the local moment (μB).
Element x y z (fractional)
Li: 0.500 0.500 0.000  0.00
Np: 0.500 0.000 0.500  -3.93
Np: 0.000 0.500 0.500  3.96
Sc: 0.000 0.000 0.000  -0.06
Se: 0.500 0.245 0.231  -0.02
Se: 0.500 0.755 0.769  -0.02
Se: 0.000 0.255 0.770  0.03
Se: 0.000 0.745 0.230  0.03

Calculated values
ΔE_f (raw) = -1251 meV/atom
DFT total energy = -58.1 eV/cell
SG = P2/m, No. 10